Computed, not measured: an optimized crystal structure of K2Np2AgTe6 at the PBE-GGA level of DFT.

a = 7.5470 Å, b = 7.5470 Å, c = 8.7686 Å
α = 98.01°, β = 98.01°, γ = 119.86°
Last column: nearest neighbours and their distance in Å.
Fractional positions:
Te  0.9320  0.5956  0.2973  2 Np 3.02-3.03, 1 Ag 3.07
Te  0.2806  0.2806  0.2943  2 Np 3.02, 1 Ag 3.14
K  0.1636  0.8364  0.0000  6 Te 3.55-3.57
Np  0.6673  0.3327  0.5000  6 Te 3.02-3.03
Te  0.5956  0.9320  0.2973  2 Np 3.02-3.03, 1 Ag 3.07
Ag  0.0000  0.0000  0.5000  6 Te 3.07-3.14
Te  0.4044  0.0680  0.7027  2 Np 3.02-3.03, 1 Ag 3.07
Te  0.0680  0.4044  0.7027  2 Np 3.02-3.03, 1 Ag 3.07
Te  0.7194  0.7194  0.7057  2 Np 3.02, 1 Ag 3.14
Np  0.3327  0.6673  0.5000  6 Te 3.02-3.03
K  0.8364  0.1636  0.0000  6 Te 3.55-3.57

Computed properties:
- Uncorrected formation energy: -0.6239 eV/atom
- Total energy: -5.149 eV/atom
- Space-group type: No. 12